# 1
GGA-PBE Mg6InPd12, optimized geometry; calculated total energy = -0.3235 Ry per atom; crystal system = trigonal; total magnetization = 0.00 μB per cell; formation energy from the elements = -9.0 eV/f.u.; SG = R-3, No. 148; calculated volume = 329.5 Å³ per cell
1.0
5.8849 3.3977 2.7463
-5.8849 3.3977 2.7463
0.0000 -6.7953 2.7463
Mg In Pd
6 1 12
direct
0.0243 0.4189 0.2925
0.2925 0.0243 0.4189
0.4189 0.2925 0.0243
0.5811 0.7075 0.9757
0.7075 0.9757 0.5811
0.9757 0.5811 0.7075
0.5000 0.5000 0.5000
0.0192 0.3139 0.9064
0.0935 0.9808 0.6861
0.2290 0.3660 0.6612
0.3139 0.9064 0.0192
0.3388 0.7710 0.6340
0.3660 0.6612 0.2290
0.6340 0.3388 0.7710
0.6612 0.2290 0.3660
0.6861 0.0935 0.9808
0.7710 0.6340 0.3388
0.9064 0.0192 0.3139
0.9808 0.6861 0.0935

---

# 2
GGA-PBE Mg2InPd6, optimized geometry; calculated total energy = -0.3330 Ry per atom; crystal system = orthorhombic; total magnetization = 0.00 μB per cell; formation energy from the elements = -3.7 eV/f.u.; SG = Immm, No. 71; calculated volume = 152.6 Å³ per cell
1.0
-2.3334 3.7572 4.3525
2.3334 -3.7572 4.3525
2.3334 3.7572 -4.3525
Mg In Pd
2 1 6
direct
0.1654 0.1654 0.0000
0.8346 0.8346 0.0000
0.5000 0.5000 0.0000
0.0250 0.3326 0.6924
0.3025 0.0000 0.3025
0.3597 0.6674 0.6924
0.6403 0.3326 0.3076
0.6975 0.0000 0.6975
0.9750 0.6674 0.3076

---

# 3
GGA-PBE Mg2In3Pd2, optimized geometry; calculated total energy = -0.2594 Ry per atom; crystal system = monoclinic; total magnetization = 0.00 μB per cell; formation energy from the elements = -2.9 eV/f.u.; SG = C2/m, No. 12; calculated volume = 145.8 Å³ per cell
1.0
4.9248 -2.1905 0.0000
4.9248 2.1905 0.0000
-2.2876 0.0000 6.7594
Mg In Pd
2 3 2
direct
0.1618 0.1618 0.3153
0.8382 0.8382 0.6847
0.3660 0.3660 0.0414
0.5000 0.5000 0.5000
0.6340 0.6340 0.9586
0.1354 0.1354 0.6947
0.8646 0.8646 0.3053